No. 1
The following is a PBE calculation of a relaxed structure of HoMgIn, from Alexandria.

Summary:
E_form = -88.4 kJ/mol of formula units

Cell lengths 8.311, 8.311, 3.785 Å; angles 90.00, 90.00, 144.63 degrees
Fractional positions:
Ho  0.167  0.833  0.000
Ho  0.833  0.167  0.000
Mg  0.000  0.000  0.500
Mg  0.500  0.500  0.000
In  0.347  0.653  0.500
In  0.653  0.347  0.500

No. 2
The following is a PBE calculation of a relaxed structure of Ho5MgIn6, from Alexandria.

Summary:
E_form = -464.9 kJ/mol of formula units

Cell lengths 9.098, 9.098, 5.256 Å; angles 106.05, 106.05, 48.19 degrees
Fractional positions:
Ho  0.000  0.000  0.000
Ho  0.167  0.167  0.666
Ho  0.335  0.335  0.336
Ho  0.665  0.665  0.664
Ho  0.833  0.833  0.334
Mg  0.500  0.500  0.000
In  0.092  0.582  0.838
In  0.257  0.743  0.500
In  0.418  0.908  0.162
In  0.582  0.092  0.838
In  0.743  0.257  0.500
In  0.908  0.418  0.162

No. 3
The following is a PBE calculation of a relaxed structure of Ho2Mg3In2, from Alexandria.

Summary:
E_form = -135.6 kJ/mol of formula units

Cell lengths 11.252, 11.252, 3.458 Å; angles 90.00, 90.00, 155.76 degrees
Fractional positions:
Ho  0.155  0.845  0.000
Ho  0.845  0.155  0.000
Mg  0.000  0.000  0.000
Mg  0.429  0.571  0.500
Mg  0.571  0.429  0.500
In  0.290  0.710  0.500
In  0.710  0.290  0.500

No. 4
The following is a PBE calculation of a relaxed structure of Ho4Mg5In, from Alexandria.

Summary:
E_form = -149.4 kJ/mol of formula units

Cell lengths 8.283, 8.283, 6.523 Å; angles 104.53, 104.53, 36.90 degrees
Fractional positions:
Ho  0.099  0.099  0.395
Ho  0.304  0.304  0.193
Ho  0.696  0.696  0.807
Ho  0.901  0.901  0.605
Mg  0.098  0.098  0.912
Mg  0.300  0.300  0.698
Mg  0.500  0.500  0.000
Mg  0.700  0.700  0.302
Mg  0.902  0.902  0.088
In  0.500  0.500  0.500

no.,size of the total moment (μB per cell)
1,0.00
2,0.00
3,0.00
4,0.00